Below is a crystal of LiMgRh2 relaxed with PBEsol, with properties calculated at the meta-GGA SCAN level.

It has space group Cm (No. 8), with a = 9.9322 Å, b = 2.7451 Å, c = 4.6251 Å, α = 90.00°, β = 117.57° and γ = 90.00°. Symmetry generates all atoms from Li at (0.0000, 0.0000, 0.0000), Mg at (0.2331, 0.0000, 0.5760), Rh at (0.2507, 0.5000, 0.0838) and Rh at (0.4830, 0.0000, 0.4970).

As for the formation energy: -0.30 eV per atom. The raw total energy comes out at -19.024 eV per atom.